DFT (PBE-GGA) results for crystalline Tb3Th at its relaxed geometry.

Lattice parameters (Å, degrees): 5.677 5.677 5.677 60.00 60.00 60.00
Atoms (fractional coordinates):
Tb 0.000 0.000 0.000
Tb 0.250 0.250 0.250
Th 0.500 0.500 0.500
Tb 0.750 0.750 0.750

Calculated values
As for the total magnetic moment: 0.00 μB/f.u. The excess energy over the best structure of this formula in the dataset comes out at 145.2 meV/atom. For the formation energy, the calculation gives 0.167 eV/atom. As for the space group: Fm-3m, No. 225.